Below is crystalline Ga3HgO at its relaxed geometry, with properties calculated at the PBE level.

Cell lengths 5.103, 5.103, 5.103 Å; angles 90.00, 90.00, 90.00 degrees
Fractional positions:
Ga 0.000 0.000 0.500
Ga 0.000 0.500 0.000
Ga 0.500 0.000 0.000
Hg 0.000 0.000 0.000
O 0.500 0.500 0.500

Computed properties:
**Crystal system**: cubic
**Offset from the most stable computed form**: 0.858 eV/atom
**M_tot**: 0.000 μB/f.u.
**VASP energy**: -2.186 eV/atom